Entry 1:
The following is a DFT calculation (GGA-PBE) of crystalline Be4PbCl at its relaxed geometry.

```
6
Lattice="0.000 3.537 3.537 3.537 0.000 3.537 3.537 3.537 0.000" Properties=species:S:1:pos:R:3 pbc="T T T"
Be 2.693 2.693 2.693
Be 4.381 4.381 2.693
Be 4.381 2.693 4.381
Be 2.693 4.381 4.381
Pb 5.306 5.306 5.306
Cl 0.000 0.000 0.000
```

Results
For the formation energy from raw total energies, the calculation gives 368.8 kJ/mol of formula units.

Entry 2:
The following is a DFT calculation (GGA-PBE) of crystalline DyTiGa at its relaxed geometry.

```
3
Lattice="4.527 0.000 0.000 -2.263 3.920 0.000 0.000 0.000 3.702" Properties=species:S:1:pos:R:3 pbc="T T T"
Dy 0.000 0.000 0.000
Ti 0.000 2.614 1.851
Ga 2.263 1.307 1.851
```

Results
The energy of formation from the pure elements is -0.180 eV/atom. The calculation puts the relative energy among the computed polymorphs at 218 meV per atom.

Entry 3:
The following is a DFT calculation (GGA-PBE) of crystalline PmCuBi at its relaxed geometry.

```
3
Lattice="0.000 3.370 3.370 3.370 0.000 3.370 3.370 3.370 0.000" Properties=species:S:1:pos:R:3 pbc="T T T"
Pm 0.000 0.000 0.000
Cu 1.685 1.685 1.685
Bi 3.370 3.370 3.370
```

Results
The energy of formation from the pure elements is -0.434 eV/atom. The calculation puts the relative energy among the computed polymorphs at 44 meV per atom.

Entry 4:
The following is a DFT calculation (GGA-PBE) of crystalline CsSrIBr2 at its relaxed geometry.

```
5
Lattice="6.012 0.000 0.000 0.000 6.012 0.000 0.000 0.000 6.515" Properties=species:S:1:pos:R:3 pbc="T T T"
Cs 0.000 0.000 0.000
Sr 3.006 3.006 3.257
I 3.006 3.006 0.000
Br 0.000 3.006 3.257
Br 3.006 0.000 3.257
```

Results
For the formation energy from raw total energies, the calculation gives -904.3 kJ/mol of formula units.

Entry 5:
The following is a DFT calculation (GGA-PBE) of crystalline Sr2YMgO at its relaxed geometry.

```
5
Lattice="5.620 0.000 0.000 0.000 5.620 0.000 0.000 0.000 4.525" Properties=species:S:1:pos:R:3 pbc="T T T"
Sr 0.000 2.810 0.000
Sr 2.810 0.000 0.000
Y 0.000 0.000 2.262
Mg 2.810 2.810 2.262
O 0.000 0.000 0.000
```

Results
For the formation energy from raw total energies, the calculation gives -515.9 kJ/mol of formula units.

Entry 6:
The following is a DFT calculation (GGA-PBE) of crystalline AlInCoRh at its relaxed geometry.

```
4
Lattice="0.000 3.072 3.072 3.072 0.000 3.072 3.072 3.072 0.000" Properties=species:S:1:pos:R:3 pbc="T T T"
Al 0.000 0.000 0.000
In 3.072 3.072 3.072
Co 1.536 1.536 1.536
Rh 4.609 4.609 4.609
```

Results
The energy of formation from the pure elements is -0.381 eV/atom.

Entry 7:
The following is a DFT calculation (GGA-PBE) of crystalline PmZn9Rh2 at its relaxed geometry.

```
12
Lattice="8.695 0.000 0.000 -4.348 7.530 0.000 0.000 0.000 3.034" Properties=species:S:1:pos:R:3 pbc="T T T"
Pm 0.000 0.000 0.000
Zn -2.174 3.765 0.000
Zn 0.000 2.829 1.517
Zn -1.898 6.116 1.517
Zn 2.450 1.414 1.517
Zn 4.348 0.000 0.000
Zn 2.174 3.765 0.000
Zn 1.898 6.116 1.517
Zn 6.245 1.414 1.517
Zn 4.348 4.702 1.517
Rh 0.000 5.020 0.000
Rh 4.348 2.510 0.000
```

Results
The energy of formation from the pure elements is -0.255 eV/atom. The calculation puts the relative energy among the computed polymorphs at 85 meV per atom.

Entry 8:
The following is a DFT calculation (GGA-PBE) of crystalline Sc2CdGaC at its relaxed geometry.

```
5
Lattice="4.573 0.000 0.000 0.000 4.573 0.000 0.000 0.000 4.179" Properties=species:S:1:pos:R:3 pbc="T T T"
Sc 0.000 2.286 0.000
Sc 2.286 0.000 0.000
Cd 0.000 0.000 2.090
Ga 2.286 2.286 2.090
C 2.286 2.286 0.000
```

Results
The energy of formation from the pure elements is -0.250 eV/atom.

| no. | DOS(E_F) (states/eV/f.u.) | magnetization (μB per formula unit) |
| --- | --- | --- |
| 1 | 2.13 | 0.0 |
| 2 | 2.06 | 0.0 |
| 3 | 1.82 | 0.0 |
| 4 | 0.00 | 0.0 |
| 5 | 3.95 | 0.0 |
| 6 | 1.59 | 0.0 |
| 7 | 6.21 | 0.0 |
| 8 | 3.06 | 0.0 |